Record 1
{
  "formula": "PtAuIN2",
  "functional": "SCAN",
  "state": "single point on PBEsol structure",
  "lattice": [[3.776, 0.000, 0.000], [0.000, 3.776, 0.000], [0.000, 0.000, 7.966]],
  "species": ["Pt", "Au", "I", "N", "N"],
  "fractional_positions": [[0.000, 0.000, 0.000], [0.500, 0.500, 0.500], [0.000, 0.000, 0.500], [0.000, 0.500, 0.000], [0.500, 0.000, 0.000]],
  "spacegroup": "P4/mmm (123)"
}

***

Record 2
{
  "formula": "YTaMo2",
  "functional": "SCAN",
  "state": "single point on PBEsol structure",
  "lattice": [[2.889, 0.000, 0.000], [0.000, 4.397, 0.000], [-0.897, 0.000, 5.762]],
  "species": ["Y", "Ta", "Mo", "Mo"],
  "fractional_positions": [[0.000, 0.000, 0.000], [0.500, 0.000, 0.500], [0.256, 0.500, 0.720], [0.744, 0.500, 0.280]],
  "e_form_mev_per_atom": 342,
  "spacegroup": "P2/m (10)",
  "de_polymorph_ev_per_fu": 0.00
}

***

Record 3
{
  "formula": "MgZrIr2",
  "functional": "SCAN",
  "state": "single point on PBEsol structure",
  "lattice": [[4.381, 0.000, 0.000], [0.000, 4.381, 0.000], [0.000, 0.000, 3.335]],
  "species": ["Mg", "Zr", "Ir", "Ir"],
  "fractional_positions": [[0.000, 0.000, 0.000], [0.500, 0.500, 0.000], [0.000, 0.500, 0.500], [0.500, 0.000, 0.500]],
  "e_form_mev_per_atom": -922,
  "spacegroup": "P4/mmm (123)"
}

***

Record 4
{
  "formula": "Ba4Nd4Ti3MnCu4O22",
  "functional": "SCAN",
  "state": "single point on PBEsol structure",
  "lattice": [[5.477, 0.000, 0.000], [0.000, 5.477, 0.000], [0.000, 0.000, 15.697]],
  "species": ["Ba", "Ba", "Ba", "Ba", "Nd", "Nd", "Nd", "Nd", "Ti", "Ti", "Ti", "Mn", "Cu", "Cu", "Cu", "Cu", "O", "O", "O", "O", "O", "O", "O", "O", "O", "O", "O", "O", "O", "O", "O", "O", "O", "O", "O", "O", "O", "O"],
  "fractional_positions": [[0.000, 0.500, 0.000], [0.000, 0.500, 0.469], [0.500, 0.000, 0.000], [0.500, 0.000, 0.469], [0.000, 0.500, 0.235], [0.000, 0.500, 0.739], [0.500, 0.000, 0.235], [0.500, 0.000, 0.739], [0.000, 0.000, 0.611], [0.000, 0.000, 0.864], [0.500, 0.500, 0.612], [0.500, 0.500, 0.861], [0.000, 0.000, 0.127], [0.000, 0.000, 0.343], [0.500, 0.500, 0.127], [0.500, 0.500, 0.343], [0.000, 0.000, 0.494], [0.000, 0.000, 0.739], [0.000, 0.000, 0.981], [0.250, 0.250, 0.333], [0.250, 0.250, 0.626], [0.250, 0.750, 0.333], [0.250, 0.750, 0.626], [0.251, 0.251, 0.139], [0.251, 0.749, 0.139], [0.254, 0.254, 0.851], [0.254, 0.746, 0.851], [0.500, 0.500, 0.495], [0.500, 0.500, 0.740], [0.500, 0.500, 0.977], [0.746, 0.254, 0.851], [0.746, 0.746, 0.851], [0.749, 0.251, 0.139], [0.749, 0.749, 0.139], [0.750, 0.250, 0.333], [0.750, 0.250, 0.626], [0.750, 0.750, 0.333], [0.750, 0.750, 0.626]],
  "spacegroup": "P4mm (99)"
}

***

Record 5
{
  "formula": "KSbAs2",
  "functional": "SCAN",
  "state": "single point on PBEsol structure",
  "lattice": [[-1.736, 2.817, 5.103], [1.736, -2.817, 5.103], [1.736, 2.817, -5.103]],
  "species": ["K", "Sb", "As", "As"],
  "fractional_positions": [[0.000, 0.000, 0.000], [0.300, 0.800, 0.500], [0.527, 0.527, 0.000], [0.707, 0.207, 0.500]],
  "spacegroup": "Imm2 (44)"
}

***

Record 6
{
  "formula": "Sc2SiPb",
  "functional": "SCAN",
  "state": "single point on PBEsol structure",
  "lattice": [[3.148, 0.000, 0.000], [0.000, 3.148, 0.000], [0.000, 0.000, 8.203]],
  "species": ["Sc", "Sc", "Si", "Pb"],
  "fractional_positions": [[0.000, 0.000, 0.211], [0.000, 0.000, 0.789], [0.500, 0.500, 0.000], [0.500, 0.500, 0.500]],
  "spacegroup": "P4/mmm (123)",
  "de_polymorph_ev_per_fu": 0.00
}

***

Record 7
{
  "formula": "ScHg2",
  "functional": "SCAN",
  "state": "single point on PBEsol structure",
  "lattice": [[3.445, 0.000, 0.000], [-1.722, 2.983, 0.000], [0.000, 0.000, 6.487]],
  "species": ["Sc", "Hg", "Hg"],
  "fractional_positions": [[0.000, 0.000, 0.000], [0.333, 0.667, 0.674], [0.667, 0.333, 0.326]],
  "e_form_mev_per_atom": -374,
  "spacegroup": "P-3m1 (164)"
}

***

Record 8
{
  "formula": "KBa",
  "functional": "SCAN",
  "state": "single point on PBEsol structure",
  "lattice": [[4.426, 0.000, 0.000], [-2.213, 3.833, 0.000], [0.000, 0.000, 15.110]],
  "species": ["K", "K", "Ba", "Ba"],
  "fractional_positions": [[0.333, 0.667, 0.131], [0.667, 0.333, 0.869], [0.333, 0.667, 0.617], [0.667, 0.333, 0.383]],
  "e_form_mev_per_atom": 54,
  "spacegroup": "P-3m1 (164)"
}

***

Record 9
{
  "formula": "LaHgW2",
  "functional": "SCAN",
  "state": "single point on PBEsol structure",
  "lattice": [[1.580, 0.912, 9.614], [-1.580, 0.912, 9.614], [0.000, -1.824, 9.614]],
  "species": ["La", "Hg", "W", "W"],
  "fractional_positions": [[0.000, 0.000, 0.000], [0.766, 0.766, 0.766], [0.243, 0.243, 0.243], [0.515, 0.515, 0.515]],
  "e_form_mev_per_atom": 545,
  "spacegroup": "R3m (160)"
}

***

Record 10
{
  "formula": "NaTi3Sb",
  "functional": "SCAN",
  "state": "single point on PBEsol structure",
  "lattice": [[5.076, 0.000, 0.000], [0.000, 5.076, 0.000], [0.000, 0.000, 5.076]],
  "species": ["Na", "Ti", "Ti", "Ti", "Sb"],
  "fractional_positions": [[0.000, 0.000, 0.000], [0.000, 0.500, 0.500], [0.500, 0.000, 0.500], [0.500, 0.500, 0.000], [0.500, 0.500, 0.500]],
  "spacegroup": "Pm-3m (221)"
}

***

Record 11
{
  "formula": "LiMg2Zr",
  "functional": "SCAN",
  "state": "single point on PBEsol structure",
  "lattice": [[1.517, 0.876, 10.519], [-1.517, 0.876, 10.519], [0.000, -1.752, 10.519]],
  "species": ["Li", "Mg", "Mg", "Zr"],
  "fractional_positions": [[0.000, 0.000, 0.000], [0.253, 0.253, 0.253], [0.747, 0.747, 0.747], [0.500, 0.500, 0.500]],
  "e_form_mev_per_atom": 23,
  "spacegroup": "R-3m (166)"
}

***

Record 12
{
  "formula": "Cd2HgBr",
  "functional": "SCAN",
  "state": "single point on PBEsol structure",
  "lattice": [[3.617, 0.000, 0.000], [0.000, 4.734, 0.000], [0.000, 0.000, 5.766]],
  "species": ["Cd", "Cd", "Hg", "Br"],
  "fractional_positions": [[0.000, 0.000, 0.000], [0.500, 0.000, 0.500], [0.000, 0.500, 0.500], [0.500, 0.500, 0.000]],
  "spacegroup": "Pmmm (47)",
  "de_polymorph_ev_per_fu": 0.43
}

***

| no. | magnetic moment (μB per formula unit) | raw total energy (eV per atom) | mass density (Mg/m³) |
| --- | --- | --- | --- |
| 1 | 0.00 | -37.81 | 8.0 |
| 2 | 0.00 | -40.71 | 10.5 |
| 3 | 0.00 | -45.39 | 13.0 |
| 4 | 3.00 | -18.55 | 6.8 |
| 5 | 0.00 | -21.51 | 5.2 |
| 6 | 0.85 | -29.08 | 6.6 |
| 7 | 0.00 | -50.56 | 11.1 |
| 8 | 0.01 | -23.89 | 2.3 |
| 9 | 0.00 | -62.12 | 14.1 |
| 10 | 0.00 | -17.03 | 3.7 |
| 11 | 0.09 | -10.74 | 2.9 |
| 12 | 0.00 | -37.21 | 8.5 |